# Tb12PrNd3 PBE-GGA optimized geometry
data_Tb12PrNd3
_chemical_formula_sum 'Tb12 Pr1 Nd3'
_cell_length_a 5.081
_cell_length_b 5.081
_cell_length_c 20.304
_cell_angle_alpha 90.00
_cell_angle_beta 90.00
_cell_angle_gamma 90.00
_symmetry_space_group_name_H-M 'P 4/m m m'
_symmetry_Int_Tables_number 123
_symmetry_space_group_name_Hall '-P 4 2'
loop_
_atom_site_label
_atom_site_type_symbol
_atom_site_fract_x
_atom_site_fract_y
_atom_site_fract_z
_atom_site_occupancy
Tb1 Tb 0.000 0.000 0.000 1
Tb2 Tb 0.000 0.000 0.250 1
Tb3 Tb 0.000 0.000 0.500 1
Tb4 Tb 0.000 0.500 0.125 1
Tb5 Tb 0.000 0.500 0.375 1
Pr1 Pr 0.500 0.500 0.000 1
Nd1 Nd 0.500 0.500 0.250 1
Nd2 Nd 0.500 0.500 0.500 1
# - Volume: 524.2 Å³ per cell
# - Raw total energy: -4.648 eV per atom
# - DFT formation energy: 18 meV per atom

=====

# Tb3Pr12Nd PBE-GGA optimized geometry
data_Tb3Pr12Nd
_chemical_formula_sum 'Tb3 Pr12 Nd1'
_cell_length_a 5.210
_cell_length_b 5.210
_cell_length_c 20.802
_cell_angle_alpha 90.00
_cell_angle_beta 90.00
_cell_angle_gamma 90.00
_symmetry_space_group_name_H-M 'P 4/m m m'
_symmetry_Int_Tables_number 123
_symmetry_space_group_name_Hall '-P 4 2'
loop_
_atom_site_label
_atom_site_type_symbol
_atom_site_fract_x
_atom_site_fract_y
_atom_site_fract_z
_atom_site_occupancy
Tb1 Tb 0.000 0.000 0.000 1
Tb2 Tb 0.000 0.000 0.249 1
Pr1 Pr 0.000 0.500 0.124 1
Pr2 Pr 0.000 0.500 0.373 1
Pr3 Pr 0.500 0.500 0.000 1
Pr4 Pr 0.500 0.500 0.248 1
Pr5 Pr 0.500 0.500 0.500 1
Nd1 Nd 0.000 0.000 0.500 1
# - Volume: 564.6 Å³ per cell
# - Raw total energy: -4.739 eV per atom
# - DFT formation energy: 12 meV per atom

=====

# Tb6Pr2Nd3 PBE-GGA optimized geometry
data_Tb6Pr2Nd3
_chemical_formula_sum 'Tb12 Pr4 Nd6'
_cell_length_a 4.813
_cell_length_b 4.813
_cell_length_c 33.530
_cell_angle_alpha 90.00
_cell_angle_beta 90.00
_cell_angle_gamma 90.00
_symmetry_space_group_name_H-M 'I 4/m m m'
_symmetry_Int_Tables_number 139
_symmetry_space_group_name_Hall '-I 4 2'
loop_
_atom_site_label
_atom_site_type_symbol
_atom_site_fract_x
_atom_site_fract_y
_atom_site_fract_z
_atom_site_occupancy
Tb1 Tb 0.000 0.000 0.194 1
Tb2 Tb 0.000 0.500 0.121 1
Pr1 Pr 0.000 0.000 0.046 1
Nd1 Nd 0.000 0.000 0.297 1
Nd2 Nd 0.000 0.000 0.500 1
# - Excess energy over the best structure of this formula in the dataset: 71 meV/atom
# - Volume: 776.8 Å³ per cell
# - Raw total energy: -4.444 eV per atom
# - DFT formation energy: 251 meV per atom

=====

# Tb3Pr4Nd4 PBE-GGA optimized geometry
data_Tb3Pr4Nd4
_chemical_formula_sum 'Tb6 Pr8 Nd8'
_cell_length_a 10.871
_cell_length_b 5.814
_cell_length_c 12.257
_cell_angle_alpha 90.00
_cell_angle_beta 90.00
_cell_angle_gamma 90.00
_symmetry_space_group_name_H-M 'A m m 2'
_symmetry_Int_Tables_number 38
_symmetry_space_group_name_Hall 'A 2 -2'
loop_
_atom_site_label
_atom_site_type_symbol
_atom_site_fract_x
_atom_site_fract_y
_atom_site_fract_z
_atom_site_occupancy
Tb1 Tb 0.000 0.000 0.000 1
Tb2 Tb 0.293 0.000 0.154 1
Pr1 Pr 0.000 0.000 0.704 1
Pr2 Pr 0.204 0.000 0.501 1
Pr3 Pr 0.500 0.000 0.637 1
Nd1 Nd 0.000 0.000 0.293 1
Nd2 Nd 0.300 0.000 0.850 1
Nd3 Nd 0.500 0.000 0.363 1
# - Excess energy over the best structure of this formula in the dataset: 15 meV/atom
# - Volume: 774.7 Å³ per cell
# - Raw total energy: -4.594 eV per atom
# - DFT formation energy: 141 meV per atom

=====

# Tb12Pr2Nd5 PBE-GGA optimized geometry
data_Tb12Pr2Nd5
_chemical_formula_sum 'Tb24 Pr4 Nd10'
_cell_length_a 15.785
_cell_length_b 9.363
_cell_length_c 8.744
_cell_angle_alpha 90.00
_cell_angle_beta 91.99
_cell_angle_gamma 90.00
_symmetry_space_group_name_H-M 'C 1 2/m 1'
_symmetry_Int_Tables_number 12
_symmetry_space_group_name_Hall '-C 2y'
loop_
_atom_site_label
_atom_site_type_symbol
_atom_site_fract_x
_atom_site_fract_y
_atom_site_fract_z
_atom_site_occupancy
Tb1 Tb 0.058 0.000 0.337 1
Tb2 Tb 0.078 0.500 0.877 1
Tb3 Tb 0.129 0.190 0.665 1
Tb4 Tb 0.149 0.321 0.242 1
Pr1 Pr 0.000 0.176 0.000 1
Nd1 Nd 0.000 0.500 0.500 1
Nd2 Nd 0.206 0.000 0.020 1
Nd3 Nd 0.230 0.500 0.572 1
# - Excess energy over the best structure of this formula in the dataset: 18 meV/atom
# - Volume: 1291.5 Å³ per cell
# - Raw total energy: -4.555 eV per atom
# - DFT formation energy: 128 meV per atom

=====

# Tb7Pr3Nd PBE-GGA optimized geometry
data_Tb7Pr3Nd
_chemical_formula_sum 'Tb14 Pr6 Nd2'
_cell_length_a 11.736
_cell_length_b 10.134
_cell_length_c 6.448
_cell_angle_alpha 90.00
_cell_angle_beta 94.87
_cell_angle_gamma 90.00
_symmetry_space_group_name_H-M 'C 1 2/m 1'
_symmetry_Int_Tables_number 12
_symmetry_space_group_name_Hall '-C 2y'
loop_
_atom_site_label
_atom_site_type_symbol
_atom_site_fract_x
_atom_site_fract_y
_atom_site_fract_z
_atom_site_occupancy
Tb1 Tb 0.000 0.000 0.000 1
Tb2 Tb 0.239 0.500 0.209 1
Tb3 Tb 0.244 0.171 0.262 1
Pr1 Pr 0.000 0.324 0.000 1
Pr2 Pr 0.000 0.500 0.500 1
Nd1 Nd 0.000 0.000 0.500 1
# - Excess energy over the best structure of this formula in the dataset: 44 meV/atom
# - Volume: 764.1 Å³ per cell
# - Raw total energy: -4.466 eV per atom
# - DFT formation energy: 217 meV per atom

=====

# Tb3Pr6Nd2 PBE-GGA optimized geometry
data_Tb3Pr6Nd2
_chemical_formula_sum 'Tb3 Pr6 Nd2'
_cell_length_a 6.354
_cell_length_b 8.182
_cell_length_c 8.210
_cell_angle_alpha 107.43
_cell_angle_beta 97.28
_cell_angle_gamma 104.92
_symmetry_space_group_name_H-M 'P -1'
_symmetry_Int_Tables_number 2
_symmetry_space_group_name_Hall '-P 1'
loop_
_atom_site_label
_atom_site_type_symbol
_atom_site_fract_x
_atom_site_fract_y
_atom_site_fract_z
_atom_site_occupancy
Tb1 Tb 0.000 0.000 0.000 1
Tb2 Tb 0.090 0.363 0.819 1
Pr1 Pr 0.180 0.727 0.636 1
Pr2 Pr 0.363 0.454 0.269 1
Pr3 Pr 0.453 0.817 0.090 1
Nd1 Nd 0.271 0.090 0.453 1
# - Excess energy over the best structure of this formula in the dataset: 0 meV/atom
# - Volume: 383.8 Å³ per cell
# - Raw total energy: -4.723 eV per atom
# - DFT formation energy: 14 meV per atom

=====

# Tb6Pr16Nd7 PBE-GGA optimized geometry
data_Tb6Pr16Nd7
_chemical_formula_sum 'Tb24 Pr64 Nd28'
_cell_length_a 16.237
_cell_length_b 16.237
_cell_length_c 16.237
_cell_angle_alpha 90.00
_cell_angle_beta 90.00
_cell_angle_gamma 90.00
_symmetry_space_group_name_H-M 'F m -3 m'
_symmetry_Int_Tables_number 225
_symmetry_space_group_name_Hall '-F 4 2 3'
loop_
_atom_site_label
_atom_site_type_symbol
_atom_site_fract_x
_atom_site_fract_y
_atom_site_fract_z
_atom_site_occupancy
Tb1 Tb 0.000 0.000 0.236 1
Pr1 Pr 0.126 0.126 0.374 1
Pr2 Pr 0.150 0.150 0.150 1
Nd1 Nd 0.000 0.000 0.500 1
Nd2 Nd 0.000 0.250 0.250 1
# - Volume: 4280.5 Å³ per cell
# - Raw total energy: -4.531 eV per atom
# - DFT formation energy: 215 meV per atom